w | DFT (PBE) results for a relaxed MgRe2W2 crystal.

Values from the calculation:
**V**: 19.73 A^3/atom
**Space-group type**: I4/mmm (139)

Lattice parameters (Å, degrees): 4.2355 4.2355 6.2609 70.23 70.23 90.00
Fractional coordinates of all 5 atoms:
W (0.6230, 0.6230, 0.7540)
W (0.3770, 0.3770, 0.2460)
Re (0.7500, 0.2500, 0.5000)
Re (0.2500, 0.7500, 0.5000)
Mg (0.0000, 0.0000, 0.0000)

***

x | DFT (PBE) results for a relaxed MgRe2W2 crystal.

Values from the calculation:
**V**: 17.32 A^3/atom
**Space-group type**: P4/mbm (127)

Lattice parameters (Å, degrees): 7.7760 7.7760 2.8636 90.00 90.00 90.00
Fractional coordinates of all 10 atoms:
Mg (0.0000, 0.0000, 0.0000)
Mg (0.5000, 0.5000, 0.0000)
W (0.8562, 0.6438, 0.0000)
W (0.6438, 0.1438, 0.0000)
W (0.3562, 0.8562, 0.0000)
W (0.1438, 0.3562, 0.0000)
Re (0.1499, 0.6499, 0.5000)
Re (0.6499, 0.8501, 0.5000)
Re (0.3501, 0.1499, 0.5000)
Re (0.8501, 0.3501, 0.5000)

***

The winner here is x, beating the second structure by 24.6 kJ/mol of atoms.

***

w | DFT (PBE) results for a relaxed YMg2Re crystal.

Values from the calculation:
**V**: 21.12 A^3/atom
**Space-group type**: Cmm2 (35)

Lattice parameters (Å, degrees): 3.0091 3.0091 9.7620 90.00 90.00 107.16
Fractional coordinates of all 4 atoms:
Re (0.0000, 0.0000, 0.4919)
Mg (0.5000, 0.5000, 0.2765)
Mg (0.0000, 0.0000, 0.0129)
Y (0.5000, 0.5000, 0.7186)

***

x | DFT (PBE) results for a relaxed YMg2Re crystal.

Values from the calculation:
**V**: 20.31 A^3/atom
**Space-group type**: Cmmm (65)

Lattice parameters (Å, degrees): 2.8887 2.8887 10.1238 90.00 90.00 105.97
Fractional coordinates of all 4 atoms:
Mg (0.0000, 0.0000, 0.4659)
Mg (0.0000, 0.0000, 0.0341)
Y (0.5000, 0.5000, 0.7500)
Re (0.5000, 0.5000, 0.2500)

***

y | DFT (PBE) results for a relaxed YMg2Re crystal.

Values from the calculation:
**V**: 20.48 A^3/atom
**Space-group type**: C2/m (12)

Lattice parameters (Å, degrees): 5.4827 5.8816 2.9592 80.35 79.63 114.89
Fractional coordinates of all 4 atoms:
Re (0.0000, 0.5000, 0.5000)
Mg (0.5000, 0.0000, 0.5000)
Mg (0.0000, 0.0000, 0.0000)
Y (0.5000, 0.5000, 0.0000)

***

z | DFT (PBE) results for a relaxed YMg2Re crystal.

Values from the calculation:
**V**: 20.11 A^3/atom
**Space-group type**: I4/mmm (139)

Lattice parameters (Å, degrees): 5.3502 5.3502 5.3502 133.01 133.01 68.65
Fractional coordinates of all 4 atoms:
Re (0.2500, 0.7500, 0.5000)
Mg (0.5000, 0.5000, 0.0000)
Mg (0.0000, 0.0000, 0.0000)
Y (0.7500, 0.2500, 0.5000)

***

The winner here is z, beating the second structure by 6.2 kJ/mol of atoms.

***

w | DFT (PBE) results for a relaxed YMg2Re crystal.

Values from the calculation:
**V**: 21.92 A^3/atom
**Space-group type**: P4mm (99)

Lattice parameters (Å, degrees): 3.4188 3.4188 7.5011 90.00 90.00 90.00
Fractional coordinates of all 4 atoms:
Mg (0.5000, 0.5000, 0.2863)
Mg (0.0000, 0.0000, 0.0421)
Y (0.5000, 0.5000, 0.6979)
Re (0.0000, 0.0000, 0.4737)

***

x | DFT (PBE) results for a relaxed YMg2Re crystal.

Values from the calculation:
**V**: 20.49 A^3/atom
**Space-group type**: F-43m (216)

Lattice parameters (Å, degrees): 4.8758 4.8758 4.8758 60.00 60.00 60.00
Fractional coordinates of all 4 atoms:
Mg (0.0000, 0.0000, 0.0000)
Mg (0.7500, 0.7500, 0.7500)
Y (0.2500, 0.2500, 0.2500)
Re (0.5000, 0.5000, 0.5000)

***

The winner here is w, beating the second structure by 6.0 kJ/mol of atoms.